First-principles (SCAN) data for a PBEsol-optimized structure of Li2LaHg2, as listed in Alexandria.

Spin magnetization = 0.00 Bohr magnetons per cell
Excess energy over the best structure of this formula in the dataset = 0 meV per atom
DOS(E_F) = 5.39 states/eV per cell
ΔE_f = -2.70 eV per formula unit

Lattice parameters (Å, degrees): 4.075 4.075 13.723 90.00 90.00 90.00
Space group I4/mmm (No. 139)
Unique sites:
Li: 0.000 0.500 0.250 (multiplicity 4)
La: 0.000 0.000 0.000 (multiplicity 2)
Hg: 0.000 0.000 0.386 (multiplicity 4)